[1]
# PrMg2ZnCd2

A relaxed PrMg2ZnCd2 crystal (GGA-PBE, the Alexandria database).

Properties
**M_tot**: 0.0 μB/cell
**VASP energy**: -0.0612 Ha/atom
**D(E_F)**: 0.470 states/eV/atom
**ΔH_f (0 K)**: 0.181 eV/atom
**Crystal system**: tetragonal
**Space-group type**: I4/mmm

Unit cell a=5.370 b=5.370 c=6.932 alpha=112.79 beta=112.79 gamma=90.00
Fractional coordinates of all 6 atoms:
Pr (0.500, 0.500, 0.000)
Mg (0.250, 0.750, 0.500)
Mg (0.750, 0.250, 0.500)
Zn (0.000, 0.000, 0.000)
Cd (0.783, 0.783, 0.566)
Cd (0.217, 0.217, 0.434)


[2]
# CsSbPHPt

A relaxed CsSbPHPt crystal (GGA-PBE, the Alexandria database).

Properties
**M_tot**: 0.0 μB/cell
**VASP energy**: -0.1573 Ha/atom
**Crystal system**: monoclinic
**Space-group type**: Pm
**Energy above the most stable polymorph in this dataset**: 0.41 eV per formula unit

Unit cell a=5.527 b=4.046 c=6.246 alpha=90.00 beta=98.13 gamma=90.00
Fractional coordinates of all 5 atoms:
Cs (0.416, 0.000, 0.002)
Sb (0.130, 0.500, 0.458)
Pt (0.865, 0.000, 0.578)
H (0.590, 0.500, 0.329)
P (0.626, 0.500, 0.560)


| no. | volume (Å³ per cell) |
| --- | --- |
| 1 | 167.2 |
| 2 | 138.3 |